Record 1
LiSb2Au | PBE | optimized geometry

POSCAR file:
```
LiSb2Au
1.0
-3.0867 2.1549 1.6436
-0.0066 -2.4971 3.2614
3.7177 3.3582 2.5788
Sb Li Au
2 1 1
direct
0.0000 0.0000 0.0284 Sb
0.5000 0.5000 0.2185 Sb
0.5000 0.5000 0.7108 Li
0.0000 0.0000 0.5423 Au
```

Space-group type: P4mm, No. 99
E_tot in eV for the cell shown: -14.048
Polymorph energy (0 for the lowest one) in kJ per mole of atoms: 8.6
Uncorrected formation energy in eV/atom: -0.1530

=====

Record 2
Li2SbAu | PBE | optimized geometry

POSCAR file:
```
Li2SbAu
1.0
-0.3184 0.2682 3.4656
2.8699 -1.9431 0.4140
3.4659 5.1030 -0.0764
Li Sb Au
2 1 1
direct
0.0000 0.0000 0.9728 Li
0.5000 0.5000 0.2355 Li
0.0000 0.0000 0.4906 Sb
0.5000 0.5000 0.8011 Au
```

Space-group type: P4mm, No. 99
E_tot in eV for the cell shown: -12.573
Uncorrected formation energy in eV/atom: -0.3364

=====

Record 3
LiSbAu5 | PBE | optimized geometry

POSCAR file:
```
LiSbAu5
1.0
5.1144 0.8040 0.0023
1.3424 5.0002 0.0023
-0.0046 -0.0041 11.2185
Au Sb Li
10 2 2
direct
0.1455 0.4185 0.1086 Au
0.8545 0.5815 0.8914 Au
0.4185 0.1455 0.6086 Au
0.9235 0.0765 0.7500 Au
0.0765 0.9235 0.2500 Au
0.5815 0.8545 0.3914 Au
0.5815 0.8545 0.1086 Au
0.1455 0.4185 0.3914 Au
0.8545 0.5815 0.6086 Au
0.4185 0.1455 0.8914 Au
0.5992 0.4008 0.2500 Sb
0.4008 0.5992 0.7500 Sb
0.0000 0.0000 0.5000 Li
0.0000 0.0000 0.0000 Li
```

Space-group type: Cmcm, No. 63
E_tot in eV for the cell shown: -46.949
Uncorrected formation energy in eV/atom: -0.1502

=====

Record 4
Li2SbAu | PBE | optimized geometry

POSCAR file:
```
Li2SbAu
1.0
-5.1798 -0.3530 1.2398
-4.9167 -0.6783 -1.9642
-1.1778 -4.6431 0.3748
Au Li Sb
1 2 1
direct
0.7475 0.7475 0.8400 Au
0.0169 0.0169 0.9201 Li
0.2436 0.2436 0.3039 Li
0.4921 0.4921 0.4360 Sb
```

Space-group type: Cm, No. 8
E_tot in eV for the cell shown: -12.990
Uncorrected formation energy in eV/atom: -0.4407

=====

Record 5
LiSb2Au | PBE | optimized geometry

POSCAR file:
```
LiSb2Au
1.0
4.7846 -0.0242 -0.0535
3.2548 3.5071 -0.0535
1.3668 0.5922 5.2741
Au Sb Li
1 2 1
direct
0.7500 0.7500 0.7500 Au
0.0084 0.0084 0.0093 Sb
0.4916 0.4916 0.4907 Sb
0.2500 0.2500 0.2500 Li
```

Space-group type: C2/m, No. 12
E_tot in eV for the cell shown: -14.064
Polymorph energy (0 for the lowest one) in kJ per mole of atoms: 8.2
Uncorrected formation energy in eV/atom: -0.1570

=====

Record 6
Li6SbAu8 | PBE | optimized geometry

POSCAR file:
```
Li6SbAu8
1.0
-5.9748 -2.8823 -3.7347
-5.5970 -3.4377 3.8483
-6.3565 2.4778 0.4981
Sb Li Au
1 6 8
direct
0.0000 0.0000 0.0000 Sb
0.8878 0.3658 0.1383 Li
0.6342 0.3919 0.8617 Li
0.3658 0.6081 0.1383 Li
0.3919 0.1122 0.8617 Li
0.6081 0.8878 0.1383 Li
0.1122 0.6342 0.8617 Li
0.5863 0.1846 0.3656 Au
0.1846 0.8635 0.3656 Au
0.8154 0.1365 0.6344 Au
0.4137 0.8154 0.6344 Au
0.1365 0.4137 0.6344 Au
0.2561 0.2561 0.2316 Au
0.7439 0.7439 0.7684 Au
0.8635 0.5863 0.3656 Au
```

Space-group type: R-3, No. 148
E_tot in eV for the cell shown: -47.424
Uncorrected formation energy in eV/atom: -0.3733

=====

Record 7
LiSb2Au | PBE | optimized geometry

POSCAR file:
```
LiSb2Au
1.0
-1.7947 -0.8558 4.6115
-4.7199 -1.6071 0.5992
-0.8765 -4.7054 1.5200
Sb Au Li
2 1 1
direct
0.2500 0.2500 0.2500 Sb
0.7500 0.7500 0.7500 Sb
0.5000 0.5000 0.5000 Au
0.0000 0.0000 0.0000 Li
```

Space-group type: Fm-3m, No. 225
E_tot in eV for the cell shown: -13.674
Polymorph energy (0 for the lowest one) in kJ per mole of atoms: 17.6
Uncorrected formation energy in eV/atom: -0.0596

=====

Record 8
LiSbAu | PBE | optimized geometry

POSCAR file:
```
LiSbAu
1.0
3.1912 0.0000 0.0000
-1.5956 2.7636 0.0000
0.0000 0.0000 6.8776
Li Au Sb
1 1 1
direct
0.3333 0.6667 0.3145 Li
0.0000 0.0000 0.0242 Au
0.6667 0.3333 0.6614 Sb
```

Space-group type: P3m1, No. 156
E_tot in eV for the cell shown: -9.759
Polymorph energy (0 for the lowest one) in kJ per mole of atoms: 30.4
Uncorrected formation energy in eV/atom: -0.1486

=====

Record 9
Li7SbAu4 | PBE | optimized geometry

POSCAR file:
```
Li7SbAu4
1.0
-2.2345 3.9565 2.0275
-6.1419 1.9513 -4.4716
-5.3815 -1.6674 3.4281
Li Au Sb
7 4 1
direct
0.7824 0.8890 0.5463 Li
0.7343 0.3182 0.2132 Li
0.2176 0.1110 0.4537 Li
0.9441 0.3711 0.7407 Li
0.2657 0.6818 0.7867 Li
0.0559 0.6289 0.2593 Li
0.5000 0.0000 0.0000 Li
0.4326 0.7665 0.3683 Au
0.5674 0.2335 0.6317 Au
0.7039 0.6423 0.9498 Au
0.2961 0.3577 0.0502 Au
0.0000 0.0000 0.0000 Sb
```

Space-group type: C2/m, No. 12
E_tot in eV for the cell shown: -35.138
Uncorrected formation energy in eV/atom: -0.3758

=====

Record 10
LiSb2Au | PBE | optimized geometry

POSCAR file:
```
LiSb2Au
1.0
-1.6387 10.5189 -8.2945
-8.4964 0.5547 2.3821
0.7727 1.9378 2.3048
Li Sb Au
4 8 4
direct
0.7500 0.7500 0.0000 Li
0.7500 0.2500 0.0000 Li
0.2500 0.7500 0.0000 Li
0.2500 0.2500 0.0000 Li
0.5000 0.6991 0.5000 Sb
0.3658 0.0000 0.5000 Sb
0.0000 0.8009 0.5000 Sb
0.8658 0.5000 0.5000 Sb
0.1342 0.5000 0.5000 Sb
0.5000 0.3009 0.5000 Sb
0.6342 0.0000 0.5000 Sb
0.0000 0.1991 0.5000 Sb
0.1643 0.0000 0.5000 Au
0.8357 0.0000 0.5000 Au
0.3357 0.5000 0.5000 Au
0.6643 0.5000 0.5000 Au
```

Space-group type: Cmmm, No. 65
E_tot in eV for the cell shown: -57.554
Polymorph energy (0 for the lowest one) in kJ per mole of atoms: 0.4
Uncorrected formation energy in eV/atom: -0.2381

=====

Record 11
Li3SbAu3 | PBE | optimized geometry

POSCAR file:
```
Li3SbAu3
1.0
-5.3970 1.9493 -5.5115
-2.7527 -7.4648 0.0554
-5.1574 1.9444 5.7380
Au Li Sb
12 12 4
direct
0.1971 0.8995 0.0204 Au
0.9796 0.6971 0.6005 Au
0.3029 0.1005 0.5204 Au
0.4796 0.8029 0.3995 Au
0.6971 0.6005 0.9796 Au
0.1005 0.5204 0.3029 Au
0.8995 0.0204 0.1971 Au
0.0204 0.1971 0.8995 Au
0.3995 0.4796 0.8029 Au
0.6005 0.9796 0.6971 Au
0.5204 0.3029 0.1005 Au
0.8029 0.3995 0.4796 Au
0.8813 0.8813 0.8813 Li
0.3457 0.1543 0.8457 Li
0.2046 0.2046 0.2046 Li
0.7046 0.2954 0.7954 Li
0.1543 0.8457 0.3457 Li
0.2954 0.7954 0.7046 Li
0.8457 0.3457 0.1543 Li
0.6187 0.1187 0.3813 Li
0.3813 0.6187 0.1187 Li
0.6543 0.6543 0.6543 Li
0.7954 0.7046 0.2954 Li
0.1187 0.3813 0.6187 Li
0.9448 0.0552 0.5552 Sb
0.5552 0.9448 0.0552 Sb
0.0552 0.5552 0.9448 Sb
0.4448 0.4448 0.4448 Sb
```

Space-group type: P2_13, No. 198
E_tot in eV for the cell shown: -90.735
Uncorrected formation energy in eV/atom: -0.4268

=====

Record 12
Li3SbAu4 | PBE | optimized geometry

POSCAR file:
```
Li3SbAu4
1.0
4.5210 0.0000 0.0000
0.0000 4.5029 0.4133
-2.2605 1.6328 6.8582
Au Li Sb
4 3 1
direct
0.8611 0.1390 0.7223 Au
0.6389 0.3607 0.2777 Au
0.1389 0.8610 0.2777 Au
0.3611 0.6393 0.7223 Au
0.2497 0.2503 0.4995 Li
0.7503 0.7497 0.5005 Li
0.0000 0.5000 0.0000 Li
0.5000 0.0000 0.0000 Sb
```

Space-group type: C2/m, No. 12
E_tot in eV for the cell shown: -26.435
Uncorrected formation energy in eV/atom: -0.4327

=====

Record 13
Li2SbAu | PBE | optimized geometry

POSCAR file:
```
Li2SbAu
1.0
4.6717 0.0000 0.0000
0.0000 5.1031 0.0000
0.0000 0.0000 5.9350
Sb Li Au
2 4 2
direct
0.5000 0.6727 0.0000 Sb
0.0000 0.3273 0.5000 Sb
0.5000 0.1691 0.7546 Li
0.5000 0.1691 0.2454 Li
0.0000 0.8309 0.2546 Li
0.0000 0.8309 0.7454 Li
0.0000 0.3214 0.0000 Au
0.5000 0.6786 0.5000 Au
```

Space-group type: Pmmn, No. 59
E_tot in eV for the cell shown: -26.572
Uncorrected formation energy in eV/atom: -0.5147

=====

Record 14
LiSb2Au | PBE | optimized geometry

POSCAR file:
```
LiSb2Au
1.0
-4.1204 -3.7800 0.8979
0.3889 -4.7654 -3.0352
3.5041 3.0037 3.2821
Sb Au Li
2 1 1
direct
0.0003 0.0003 0.0000 Sb
0.7502 0.2502 0.5000 Sb
0.4991 0.4991 0.0000 Au
0.2504 0.7504 0.5000 Li
```

Space-group type: Imm2, No. 44
E_tot in eV for the cell shown: -14.098
Polymorph energy (0 for the lowest one) in kJ per mole of atoms: 7.4
Uncorrected formation energy in eV/atom: -0.1656

=====

Record 15
LiSb2Au | PBE | optimized geometry

POSCAR file:
```
LiSb2Au
1.0
5.4280 -0.0115 0.0000
1.7032 5.1539 0.0000
-3.5656 -2.5712 3.1842
Sb Au Li
2 1 1
direct
0.0000 0.0000 0.0000 Sb
0.5000 0.5000 0.0000 Sb
0.2500 0.7500 0.5000 Au
0.7500 0.2500 0.5000 Li
```

Space-group type: I4/mmm, No. 139
E_tot in eV for the cell shown: -13.933
Polymorph energy (0 for the lowest one) in kJ per mole of atoms: 11.4
Uncorrected formation energy in eV/atom: -0.1241

=====

Record 16
Li2SbAu6 | PBE | optimized geometry

POSCAR file:
```
Li2SbAu6
1.0
4.3579 0.0000 0.0000
0.0000 6.7631 -1.7278
0.0000 1.2875 6.8605
Au Sb Li
6 1 2
direct
0.0000 0.3564 0.0217 Au
0.0000 0.0217 0.3564 Au
0.0000 0.6778 0.6778 Au
0.5000 0.8568 0.5219 Au
0.5000 0.5219 0.8568 Au
0.5000 0.4563 0.4563 Au
0.5000 0.1805 0.1805 Sb
0.0000 0.6445 0.2841 Li
0.0000 0.2841 0.6445 Li
```

Space-group type: Amm2, No. 38
E_tot in eV for the cell shown: -28.888
Polymorph energy (0 for the lowest one) in kJ per mole of atoms: 14.5
Uncorrected formation energy in eV/atom: -0.1415

=====

Record 17
LiSb2Au | PBE | optimized geometry

POSCAR file:
```
LiSb2Au
1.0
5.0196 0.0264 -0.0131
-1.0882 4.9003 -0.0131
0.0093 0.0116 3.5669
Li Sb Au
1 2 1
direct
0.0000 0.5000 0.5000 Li
0.5000 0.5000 0.0000 Sb
0.0000 0.0000 0.0000 Sb
0.5000 0.0000 0.5000 Au
```

Space-group type: Cmmm, No. 65
E_tot in eV for the cell shown: -14.047
Polymorph energy (0 for the lowest one) in kJ per mole of atoms: 8.6
Uncorrected formation energy in eV/atom: -0.1528

=====

Record 18
Li2SbAu3 | PBE | optimized geometry

POSCAR file:
```
Li2SbAu3
1.0
3.9304 0.0000 0.0000
0.0000 4.0640 -1.3741
0.0000 0.0020 6.7025
Au Li Sb
3 2 1
direct
0.5000 0.5000 0.0000 Au
0.5000 0.1766 0.3533 Au
0.5000 0.8234 0.6467 Au
0.0000 0.3330 0.6659 Li
0.0000 0.6670 0.3341 Li
0.0000 0.0000 0.0000 Sb
```

Space-group type: Cmmm, No. 65
E_tot in eV for the cell shown: -20.122
Uncorrected formation energy in eV/atom: -0.3899

=====

Record 19
Li6Sb2Au | PBE | optimized geometry

POSCAR file:
```
Li6Sb2Au
1.0
4.6723 0.0000 0.0000
-2.3361 4.0267 -0.7036
0.0000 1.1898 8.5683
Sb Li Au
2 6 1
direct
0.3385 0.6771 0.2394 Sb
0.6615 0.3229 0.7605 Sb
0.9946 0.9893 0.7986 Li
0.3328 0.6656 0.9144 Li
0.6668 0.3337 0.4138 Li
0.0054 0.0107 0.2014 Li
0.3332 0.6663 0.5862 Li
0.6672 0.3344 0.0856 Li
0.0000 0.0000 0.5000 Au
```

Space-group type: C2/m, No. 12
E_tot in eV for the cell shown: -27.669
Uncorrected formation energy in eV/atom: -0.5183

=====

Record 20
Li4Sb2Au | PBE | optimized geometry

POSCAR file:
```
Li4Sb2Au
1.0
-0.4312 -3.2444 3.2454
3.7570 -1.8070 1.9659
0.8595 4.6408 8.0264
Li Au Sb
4 1 2
direct
0.2027 0.2027 0.3920 Li
0.7973 0.7973 0.6080 Li
0.3868 0.3868 0.8396 Li
0.6132 0.6132 0.1604 Li
0.0000 0.0000 0.0000 Au
0.0975 0.0975 0.7075 Sb
0.9025 0.9025 0.2925 Sb
```

Space-group type: R-3m, No. 166
E_tot in eV for the cell shown: -22.247
Uncorrected formation energy in eV/atom: -0.4386

=====

Record 21
LiSbAu | PBE | optimized geometry

POSCAR file:
```
LiSbAu
1.0
-2.0512 3.9799 -1.3860
-2.1921 -4.0989 -0.6009
-1.4375 0.3215 3.0507
Li Au Sb
1 1 1
direct
0.3333 0.6667 0.3306 Li
0.0000 0.0000 0.8357 Au
0.6667 0.3333 0.8337 Sb
```

Space-group type: P3m1, No. 156
E_tot in eV for the cell shown: -10.475
Polymorph energy (0 for the lowest one) in kJ per mole of atoms: 7.4
Uncorrected formation energy in eV/atom: -0.3870

=====

Record 22
LiSb2Au | PBE | optimized geometry

POSCAR file:
```
LiSb2Au
1.0
6.9388 0.0000 0.0152
0.0000 3.1382 0.0000
-1.3983 0.0000 8.4087
Au Li Sb
2 2 4
direct
0.2285 0.5000 0.6341 Au
0.8667 0.5000 0.7783 Au
0.9162 0.0000 0.5183 Li
0.5432 0.0000 0.7780 Li
0.1261 0.5000 0.2952 Sb
0.7174 0.5000 0.0730 Sb
0.5601 0.5000 0.4761 Sb
0.2582 0.5000 0.9599 Sb
```

Space-group type: Pm, No. 6
E_tot in eV for the cell shown: -28.749
Polymorph energy (0 for the lowest one) in kJ per mole of atoms: 0.7
Uncorrected formation energy in eV/atom: -0.2347

=====

Record 23
Li4SbAu | PBE | optimized geometry

POSCAR file:
```
Li4SbAu
1.0
-1.1763 -2.3934 -1.1866
3.8707 -0.9425 -1.9347
2.1417 -4.1895 6.3274
Li Sb Au
4 1 1
direct
0.4988 0.4974 0.6754 Li
0.4986 0.9972 0.1545 Li
0.4984 0.9973 0.8416 Li
0.4986 0.4974 0.3211 Li
0.9986 0.9973 0.4982 Sb
0.9985 0.4972 0.9981 Au
```

Space-group type: Pmmm, No. 47
E_tot in eV for the cell shown: -17.696
Polymorph energy (0 for the lowest one) in kJ per mole of atoms: 0.0
Uncorrected formation energy in eV/atom: -0.4402

=====

Record 24
LiSb2Au | PBE | optimized geometry

POSCAR file:
```
LiSb2Au
1.0
-1.6582 0.0812 2.9073
0.5611 -3.2749 0.4107
6.8817 1.6654 3.8784
Li Sb Au
1 2 1
direct
0.5000 0.5000 0.7072 Li
0.0000 0.0000 0.9173 Sb
0.5000 0.5000 0.3251 Sb
0.0000 0.0000 0.5504 Au
```

Space-group type: P4mm, No. 99
E_tot in eV for the cell shown: -14.153
Polymorph energy (0 for the lowest one) in kJ per mole of atoms: 6.1
Uncorrected formation energy in eV/atom: -0.1793

=====

Record 25
Li2SbAu | PBE | optimized geometry

POSCAR file:
```
Li2SbAu
1.0
-2.5519 -3.6985 2.1807
-0.1107 -3.7600 -3.2859
3.8757 2.6505 1.7030
Li Sb Au
2 1 1
direct
0.5000 0.5000 0.0000 Li
0.0000 0.0000 0.0000 Li
0.2500 0.7500 0.5000 Sb
0.7500 0.2500 0.5000 Au
```

Space-group type: I4/mmm, No. 139
E_tot in eV for the cell shown: -13.352
Uncorrected formation energy in eV/atom: -0.5312